Below is a geometry-optimized HfNiH structure, with properties calculated at the PBE level.

abc: 3.3057 4.3580 7.0163
angles: 120.40 90.00 112.29
Last column: nearest neighbours and their distance in Å.
Positions (direct):
Hf 0.9229 0.8458 0.2320  3 H 2.01-2.04
Hf 0.0771 0.1542 0.7680  3 H 2.01-2.04
Ni 0.3226 0.6453 0.4428  3 Ni 2.40-2.51, 4 Hf 2.62-2.65
H 0.3600 0.7201 0.0331  3 Hf 2.01-2.04
H 0.6400 0.2799 0.9669  3 Hf 2.01-2.04
Ni 0.6774 0.3547 0.5572  3 Ni 2.40-2.51, 4 Hf 2.62-2.65

ΔE to the lowest computed polymorph   0.55 eV per formula unit
Symmetry   No. 12